[1]
DFT (PBE) results for a relaxed structure of Ac3PrPb4.

Results
For the total energy, the calculation gives -4.4385 eV per atom. The space group is Pmn2_1 (31). The energy relative to the lowest polymorph listed for this composition is 43 meV per atom.

a = 11.8791 Å, b = 6.8953 Å, c = 6.8913 Å
α = 90.00°, β = 90.00°, γ = 90.00°
Positions (direct):
Ac1 0.0000 0.0225 0.0000
Ac2 0.2494 0.2587 0.7177
Ac3 0.2506 0.7413 0.2177
Ac4 0.5000 0.9775 0.5000
Ac5 0.7494 0.7413 0.2177
Ac6 0.7506 0.2587 0.7177
Pr1 0.0000 0.5038 0.4781
Pr2 0.5000 0.4962 0.9781
Pb1 0.0000 0.0005 0.4916
Pb2 0.0000 0.5141 0.9765
Pb3 0.2274 0.7575 0.7162
Pb4 0.2726 0.2425 0.2162
Pb5 0.5000 0.9995 0.9916
Pb6 0.5000 0.4859 0.4765
Pb7 0.7274 0.2425 0.2162
Pb8 0.7726 0.7575 0.7162

***

[2]
DFT (PBE) results for a relaxed structure of LiPm3Pd12.

Results
For the total energy, the calculation gives -5.5465 eV per atom. The space group is P4/mmm (123).

a = 4.1644 Å, b = 4.1644 Å, c = 16.1165 Å
α = 90.00°, β = 90.00°, γ = 90.00°
Positions (direct):
Li1 0.0000 0.0000 0.0000
Pm1 0.0000 0.0000 0.2393
Pm2 0.0000 0.0000 0.5000
Pm3 0.0000 0.0000 0.7607
Pd1 0.0000 0.5000 0.1100
Pd2 0.0000 0.5000 0.3699
Pd3 0.0000 0.5000 0.6301
Pd4 0.0000 0.5000 0.8900
Pd5 0.5000 0.0000 0.1100
Pd6 0.5000 0.0000 0.3699
Pd7 0.5000 0.0000 0.6301
Pd8 0.5000 0.0000 0.8900
Pd9 0.5000 0.5000 0.0000
Pd10 0.5000 0.5000 0.2392
Pd11 0.5000 0.5000 0.5000
Pd12 0.5000 0.5000 0.7608

***

[3]
DFT (PBE) results for a relaxed structure of CeTh2ScBi4.

Results
For the total energy, the calculation gives -5.9608 eV per atom. The space group is P2/m (10).

a = 7.8197 Å, b = 4.5339 Å, c = 7.8436 Å
α = 90.00°, β = 109.57°, γ = 90.00°
Positions (direct):
Ce1 0.0000 0.0000 0.0000
Th1 0.5000 0.0000 0.5000
Th2 0.5000 0.5000 0.0000
Sc1 0.0000 0.5000 0.5000
Bi1 0.2337 0.0000 0.7357
Bi2 0.2400 0.5000 0.2560
Bi3 0.7600 0.5000 0.7440
Bi4 0.7663 0.0000 0.2643

***

[4]
DFT (PBE) results for a relaxed structure of Re3AgF.

Results
For the total energy, the calculation gives -6.8946 eV per atom. Its formation energy from raw total energies is 1519 meV per atom. The space group is Pm-3m (221). The energy relative to the lowest polymorph listed for this composition is 0 meV per atom.

a = 4.2314 Å, b = 4.2314 Å, c = 4.2314 Å
α = 90.00°, β = 90.00°, γ = 90.00°
Positions (direct):
Re1 0.0000 0.0000 0.5000
Re2 0.0000 0.5000 0.0000
Re3 0.5000 0.0000 0.0000
Ag1 0.5000 0.5000 0.5000
F1 0.0000 0.0000 0.0000

***

[5]
DFT (PBE) results for a relaxed structure of Ho5In2Sn.

Results
For the total energy, the calculation gives -4.4036 eV per atom. The space group is I-42m (121). The energy relative to the lowest polymorph listed for this composition is 103 meV per atom.

a = 6.7210 Å, b = 6.7210 Å, c = 6.7210 Å
α = 119.18°, β = 119.18°, γ = 91.42°
Positions (direct):
Ho1 0.0000 0.0000 0.0000
Ho2 0.9996 0.9996 0.4990
Ho3 0.0004 0.4994 0.0000
Ho4 0.4994 0.0004 0.0000
Ho5 0.5006 0.5006 0.5010
In1 0.0000 0.5000 0.5000
In2 0.5000 0.0000 0.5000
Sn1 0.5000 0.5000 0.0000

***

[6]
DFT (PBE) results for a relaxed structure of BaBe2Mo.

Results
For the total energy, the calculation gives -4.2930 eV per atom. The space group is P4mm (99). The energy relative to the lowest polymorph listed for this composition is 297 meV per atom.

a = 2.9411 Å, b = 2.9411 Å, c = 8.0890 Å
α = 90.00°, β = 90.00°, γ = 90.00°
Positions (direct):
Ba1 0.0000 0.0000 0.0000
Be1 0.0000 0.0000 0.4395
Be2 0.5000 0.5000 0.3260
Mo1 0.5000 0.5000 0.6340

***

[7]
DFT (PBE) results for a relaxed structure of Tb2H2SeS.

Results
For the total energy, the calculation gives -5.4211 eV per atom. The space group is P-3m1 (164).

a = 3.8239 Å, b = 3.8239 Å, c = 7.6372 Å
α = 90.00°, β = 90.00°, γ = 120.00°
Positions (direct):
Tb1 0.3333 0.6667 0.2407
Tb2 0.6667 0.3333 0.7593
H1 0.3333 0.6667 0.7558
H2 0.6667 0.3333 0.2442
Se1 0.0000 0.0000 0.5000
S1 0.0000 0.0000 0.0000

***

[8]
DFT (PBE) results for a relaxed structure of Mg2Al2Br.

Results
For the total energy, the calculation gives -2.5495 eV per atom. Its formation energy from raw total energies is -80 meV per atom. The space group is I4/mmm (139). The energy relative to the lowest polymorph listed for this composition is 2 meV per atom.

a = 8.4743 Å, b = 8.4743 Å, c = 8.4743 Å
α = 153.99°, β = 153.99°, γ = 37.11°
Positions (direct):
Mg1 0.1126 0.1126 0.0000
Mg2 0.8874 0.8874 0.0000
Al1 0.2500 0.7500 0.5000
Al2 0.7500 0.2500 0.5000
Br1 0.5000 0.5000 0.0000

***

[9]
DFT (PBE) results for a relaxed structure of NaAlHg2.

Results
For the total energy, the calculation gives -1.4348 eV per atom. The space group is R3m (160).

a = 6.6693 Å, b = 6.6693 Å, c = 6.6693 Å
α = 38.31°, β = 38.31°, γ = 38.31°
Positions (direct):
Na1 0.0000 0.0000 0.0000
Al1 0.8218 0.8218 0.8218
Hg1 0.2302 0.2302 0.2302
Hg2 0.4281 0.4281 0.4281

***

[10]
DFT (PBE) results for a relaxed structure of LaCd2Si.

Results
For the total energy, the calculation gives -3.1797 eV per atom. Its formation energy from raw total energies is -135 meV per atom. The space group is P2/m (10).

a = 3.4819 Å, b = 5.1345 Å, c = 5.6040 Å
α = 90.00°, β = 90.23°, γ = 90.00°
Positions (direct):
La1 0.0000 0.0000 0.0000
Cd1 0.4955 0.5000 0.7467
Cd2 0.5045 0.5000 0.2533
Si1 0.5000 0.0000 0.5000

***

[11]
DFT (PBE) results for a relaxed structure of CeTiAs2.

Results
For the total energy, the calculation gives -6.7897 eV per atom. The space group is R3m (160). The energy relative to the lowest polymorph listed for this composition is 120 meV per atom.

a = 7.0260 Å, b = 7.0260 Å, c = 7.0260 Å
α = 32.17°, β = 32.17°, γ = 32.17°
Positions (direct):
Ce1 0.0000 0.0000 0.0000
Ti1 0.8246 0.8246 0.8246
As1 0.4229 0.4229 0.4229
As2 0.5682 0.5682 0.5682

***

[12]
DFT (PBE) results for a relaxed structure of CeYMgSc.

Results
For the total energy, the calculation gives -5.0195 eV per atom. The space group is F-43m (216).

a = 5.3952 Å, b = 5.3952 Å, c = 5.3952 Å
α = 60.00°, β = 60.00°, γ = 60.00°
Positions (direct):
Ce1 0.0000 0.0000 0.0000
Y1 0.5000 0.5000 0.5000
Mg1 0.2500 0.2500 0.2500
Sc1 0.7500 0.7500 0.7500

***

[13]
DFT (PBE) results for a relaxed structure of DyPuAg2Se4.

Results
For the total energy, the calculation gives -5.8467 eV per atom. Its formation energy from raw total energies is -1025 meV per atom. The space group is P2/m (10).

a = 6.8184 Å, b = 4.2210 Å, c = 7.3233 Å
α = 90.00°, β = 111.80°, γ = 90.00°
Positions (direct):
Dy1 0.0000 0.0000 0.0000
Pu1 0.0000 0.5000 0.5000
Ag1 0.5000 0.0000 0.5000
Ag2 0.5000 0.5000 0.0000
Se1 0.2466 0.0000 0.7543
Se2 0.2490 0.5000 0.2483
Se3 0.7510 0.5000 0.7517
Se4 0.7534 0.0000 0.2457

***

[14]
DFT (PBE) results for a relaxed structure of Mg2PPb.

Results
For the total energy, the calculation gives -3.3555 eV per atom. The space group is C2/m (12).

a = 3.8865 Å, b = 3.8865 Å, c = 7.6501 Å
α = 104.60°, β = 104.60°, γ = 59.90°
Positions (direct):
Mg1 0.2222 0.2222 0.1669
Mg2 0.7778 0.7778 0.8331
P1 0.5000 0.5000 0.0000
Pb1 0.0000 0.0000 0.5000